(1)
! Cr5Fe2H4 (PBE-GGA, optimized geometry); values from VASP
&SYSTEM
  ibrav = 0, nat = 11, ntyp = 3
/
ATOMIC_SPECIES
Cr 52.00 Cr.upf
Fe 55.84 Fe.upf
H 1.01 H.upf
ATOMIC_POSITIONS angstrom
Cr 0.000 0.000 0.000
Cr 4.496 0.000 0.671
Cr 3.979 0.000 3.507
Cr 9.246 0.000 1.500
Cr 8.729 0.000 4.336
Fe 0.547 0.000 2.695
Fe 12.678 0.000 2.311
H 2.245 0.000 2.992
H 5.825 0.000 3.697
H 7.401 0.000 1.310
H 10.980 0.000 2.014
CELL_PARAMETERS angstrom
7.088 -1.283 0.000
7.088 1.283 0.000
-0.951 0.000 5.006
! Size of the total moment = 0.0 μB per cell
! Volume = 8.28 Å³/atom
! Final energy = -75.70 eV per cell
! SG = C2/m (12)



(2)
! CrFeH2 (PBE-GGA, optimized geometry); values from VASP
&SYSTEM
  ibrav = 0, nat = 4, ntyp = 3
/
ATOMIC_SPECIES
Cr 52.00 Cr.upf
Fe 55.84 Fe.upf
H 1.01 H.upf
ATOMIC_POSITIONS angstrom
Cr 0.000 0.000 0.000
Fe 0.000 0.000 2.426
H 0.000 0.000 8.116
H 0.000 0.000 10.501
CELL_PARAMETERS angstrom
1.309 0.756 4.633
-1.309 0.756 4.633
0.000 -1.512 4.633
! Relative energy among the computed polymorphs = 208.9 meV per atom
! Size of the total moment = 1.1 μB per cell
! Volume = 6.88 Å³/atom
! SG = R3m (160)



(3)
! CrFe3H2 (PBE-GGA, optimized geometry); values from VASP
&SYSTEM
  ibrav = 0, nat = 12, ntyp = 3
/
ATOMIC_SPECIES
Cr 52.00 Cr.upf
Fe 55.84 Fe.upf
H 1.01 H.upf
ATOMIC_POSITIONS angstrom
Cr 0.128 0.000 1.744
Cr 5.081 0.000 6.098
Fe -1.965 0.000 5.678
Fe 3.521 0.000 0.180
Fe 1.391 0.000 4.123
Fe 3.818 0.000 3.719
Fe 1.688 0.000 7.663
Fe 7.173 0.000 2.164
H -0.300 0.000 4.831
H 1.902 0.000 0.975
H 3.306 0.000 6.868
H 5.509 0.000 3.011
CELL_PARAMETERS angstrom
4.726 -1.288 0.000
4.726 1.288 0.000
-4.243 0.000 7.842
! Size of the total moment = 5.7 μB per cell
! Volume = 7.96 Å³/atom
! Final energy = -83.27 eV per cell
! SG = C2/m (12)



(4)
! CrFe3H (PBE-GGA, optimized geometry); values from VASP
&SYSTEM
  ibrav = 0, nat = 10, ntyp = 3
/
ATOMIC_SPECIES
Cr 52.00 Cr.upf
Fe 55.84 Fe.upf
H 1.01 H.upf
ATOMIC_POSITIONS angstrom
Cr 0.698 1.726 3.182
Cr 3.484 3.786 5.141
Fe 0.697 3.782 1.136
Fe 2.091 3.794 7.156
Fe 2.092 1.722 5.181
Fe 2.091 3.790 3.142
Fe 2.092 1.718 1.167
Fe 3.486 1.730 7.187
H 0.697 1.048 0.001
H 3.485 4.464 8.322
CELL_PARAMETERS angstrom
2.790 0.000 0.000
0.000 4.125 0.000
1.393 1.387 8.323
! Relative energy among the computed polymorphs = 14.9 meV per atom
! Size of the total moment = 12.4 μB per cell
! Volume = 9.58 Å³/atom
! SG = P-1 (2)



(5)
! CrFe3H (PBE-GGA, optimized geometry); values from VASP
&SYSTEM
  ibrav = 0, nat = 5, ntyp = 3
/
ATOMIC_SPECIES
Cr 52.00 Cr.upf
Fe 55.84 Fe.upf
H 1.01 H.upf
ATOMIC_POSITIONS angstrom
Cr 0.000 0.000 0.000
Fe 0.000 1.768 1.768
Fe 1.768 0.000 1.768
Fe 1.768 1.768 0.000
H 1.768 1.768 1.768
CELL_PARAMETERS angstrom
3.536 0.000 0.000
0.000 3.536 0.000
0.000 0.000 3.536
! Relative energy among the computed polymorphs = 0.0 meV per atom
! Size of the total moment = 0.0 μB per cell
! Volume = 8.84 Å³/atom
! SG = Pm-3m (221)



(6)
! CrFeH2 (PBE-GGA, optimized geometry); values from VASP
&SYSTEM
  ibrav = 0, nat = 4, ntyp = 3
/
ATOMIC_SPECIES
Cr 52.00 Cr.upf
Fe 55.84 Fe.upf
H 1.01 H.upf
ATOMIC_POSITIONS angstrom
Cr 0.000 0.000 0.000
Fe 2.436 2.436 2.436
H 1.218 1.218 1.218
H 3.654 3.654 3.654
CELL_PARAMETERS angstrom
0.000 2.436 2.436
2.436 0.000 2.436
2.436 2.436 0.000
! Relative energy among the computed polymorphs = 635.8 meV per atom
! Size of the total moment = 2.4 μB per cell
! Volume = 7.23 Å³/atom
! SG = Fm-3m (225)